First-principles (PBE) data for a geometry-optimized Lu2CuAgSn2 structure, as listed in OQMD via LeMat-Bulk.

```
data_Lu2CuAgSn2
_chemical_formula_sum 'Lu2 Cu1 Ag1 Sn2'
_space_group_name_H-M_alt 'P 3 m 1'
_space_group_IT_number 156
_space_group_name_Hall 'P 3 -2"'
_cell_length_a 4.5973
_cell_length_b 4.5973
_cell_length_c 7.2004
_cell_angle_alpha 90.00
_cell_angle_beta 90.00
_cell_angle_gamma 120.00
loop_
_atom_site_label
_atom_site_type_symbol
_atom_site_fract_x
_atom_site_fract_y
_atom_site_fract_z
Lu1 Lu 0.0000 0.0000 0.0000
Lu2 Lu 0.0000 0.0000 0.4920
Cu1 Cu 0.3333 0.6667 0.1704
Ag1 Ag 0.6667 0.3333 0.6738
Sn1 Sn 0.3333 0.6667 0.7801
Sn2 Sn 0.6667 0.3333 0.2618
```

Results
Electronic total energy = -26.8 eV/f.u.
Size of the total moment = 0.001 μB/cell
Volume = 22.0 Å³/atom


First-principles (PBE) data for a geometry-optimized LuCuAgTe3 structure, as listed in OQMD via LeMat-Bulk.

```
data_LuCuAgTe3
_chemical_formula_sum 'Lu4 Cu4 Ag4 Te12'
_space_group_name_H-M_alt 'C m c m'
_space_group_IT_number 63
_space_group_name_Hall '-C 2c 2'
_cell_length_a 3.9792
_cell_length_b 14.3464
_cell_length_c 10.9876
_cell_angle_alpha 90.00
_cell_angle_beta 90.00
_cell_angle_gamma 90.00
loop_
_atom_site_label
_atom_site_type_symbol
_atom_site_fract_x
_atom_site_fract_y
_atom_site_fract_z
Lu1 Lu 0.0000 0.0000 0.0000
Cu1 Cu 0.0000 0.4705 0.2500
Ag1 Ag 0.0000 0.2352 0.7500
Te1 Te 0.0000 0.0943 0.2500
Te2 Te 0.0000 0.3525 0.0697
```

Results
Electronic total energy = -23.4 eV/f.u.
Size of the total moment = 0.035 μB/cell
Volume = 26.1 Å³/atom


First-principles (PBE) data for a geometry-optimized LuTlCuAg structure, as listed in OQMD via LeMat-Bulk.

```
data_LuTlCuAg
_chemical_formula_sum 'Lu4 Tl4 Cu4 Ag4'
_space_group_name_H-M_alt 'F -4 3 m'
_space_group_IT_number 216
_space_group_name_Hall 'F -4 2 3'
_cell_length_a 6.8182
_cell_length_b 6.8182
_cell_length_c 6.8182
_cell_angle_alpha 90.00
_cell_angle_beta 90.00
_cell_angle_gamma 90.00
loop_
_atom_site_label
_atom_site_type_symbol
_atom_site_fract_x
_atom_site_fract_y
_atom_site_fract_z
Lu1 Lu 0.0000 0.0000 0.0000
Tl1 Tl 0.0000 0.0000 0.5000
Cu1 Cu 0.2500 0.2500 0.7500
Ag1 Ag 0.2500 0.2500 0.2500
```

Results
Size of the total moment = 0.002 μB/cell
Distance to the lowest polymorph of the same formula = 0.0 kJ per mole of atoms
Volume = 19.8 Å³/atom


First-principles (PBE) data for a geometry-optimized LuTlCuAg structure, as listed in OQMD via LeMat-Bulk.

```
data_LuTlCuAg
_chemical_formula_sum 'Lu4 Tl4 Cu4 Ag4'
_space_group_name_H-M_alt 'F -4 3 m'
_space_group_IT_number 216
_space_group_name_Hall 'F -4 2 3'
_cell_length_a 6.8665
_cell_length_b 6.8665
_cell_length_c 6.8665
_cell_angle_alpha 90.00
_cell_angle_beta 90.00
_cell_angle_gamma 90.00
loop_
_atom_site_label
_atom_site_type_symbol
_atom_site_fract_x
_atom_site_fract_y
_atom_site_fract_z
Lu1 Lu 0.0000 0.0000 0.0000
Tl1 Tl 0.2500 0.2500 0.2500
Cu1 Cu 0.0000 0.0000 0.5000
Ag1 Ag 0.2500 0.2500 0.7500
```

Results
Size of the total moment = 0.004 μB/cell
Distance to the lowest polymorph of the same formula = 7.8 kJ per mole of atoms
Volume = 20.2 Å³/atom


First-principles (PBE) data for a geometry-optimized LuZnCuAg structure, as listed in OQMD via LeMat-Bulk.

```
data_LuZnCuAg
_chemical_formula_sum 'Lu4 Zn4 Cu4 Ag4'
_space_group_name_H-M_alt 'F -4 3 m'
_space_group_IT_number 216
_space_group_name_Hall 'F -4 2 3'
_cell_length_a 6.5734
_cell_length_b 6.5734
_cell_length_c 6.5734
_cell_angle_alpha 90.00
_cell_angle_beta 90.00
_cell_angle_gamma 90.00
loop_
_atom_site_label
_atom_site_type_symbol
_atom_site_fract_x
_atom_site_fract_y
_atom_site_fract_z
Lu1 Lu 0.0000 0.0000 0.0000
Zn1 Zn 0.2500 0.2500 0.2500
Cu1 Cu 0.0000 0.0000 0.5000
Ag1 Ag 0.2500 0.2500 0.7500
```

Results
Energy of formation = -144.5 meV/atom
Size of the total moment = 0.006 μB/cell
Distance to the lowest polymorph of the same formula = 6.2 kJ per mole of atoms
Volume = 17.8 Å³/atom


First-principles (PBE) data for a geometry-optimized LuZnCuAg structure, as listed in OQMD via LeMat-Bulk.

```
data_LuZnCuAg
_chemical_formula_sum 'Lu4 Zn4 Cu4 Ag4'
_space_group_name_H-M_alt 'F -4 3 m'
_space_group_IT_number 216
_space_group_name_Hall 'F -4 2 3'
_cell_length_a 6.5611
_cell_length_b 6.5611
_cell_length_c 6.5611
_cell_angle_alpha 90.00
_cell_angle_beta 90.00
_cell_angle_gamma 90.00
loop_
_atom_site_label
_atom_site_type_symbol
_atom_site_fract_x
_atom_site_fract_y
_atom_site_fract_z
Lu1 Lu 0.0000 0.0000 0.0000
Zn1 Zn 0.0000 0.0000 0.5000
Cu1 Cu 0.2500 0.2500 0.7500
Ag1 Ag 0.2500 0.2500 0.2500
```

Results
Energy of formation = -208.6 meV/atom
Size of the total moment = 0.001 μB/cell
Distance to the lowest polymorph of the same formula = 0.0 kJ per mole of atoms
Volume = 17.7 Å³/atom


First-principles (PBE) data for a geometry-optimized Mg2CuAgSb2 structure, as listed in OQMD via LeMat-Bulk.

```
data_Mg2CuAgSb2
_chemical_formula_sum 'Mg8 Cu4 Ag4 Sb8'
_space_group_name_H-M_alt 'P 1 m 1'
_space_group_IT_number 6
_space_group_name_Hall 'P -2y'
_cell_length_a 7.8705
_cell_length_b 4.5145
_cell_length_c 15.0264
_cell_angle_alpha 90.00
_cell_angle_beta 99.57
_cell_angle_gamma 90.00
loop_
_atom_site_label
_atom_site_type_symbol
_atom_site_fract_x
_atom_site_fract_y
_atom_site_fract_z
Mg1 Mg 0.0000 0.0000 0.0000
Mg2 Mg 0.0031 0.5000 0.4920
Mg3 Mg 0.2416 0.0000 0.7401
Mg4 Mg 0.2460 0.5000 0.2431
Mg5 Mg 0.4866 0.0000 0.4865
Mg6 Mg 0.4987 0.5000 0.9986
Mg7 Mg 0.7455 0.0000 0.2404
Mg8 Mg 0.7547 0.5000 0.7416
Cu1 Cu 0.0613 0.5000 0.6775
Cu2 Cu 0.0622 0.0000 0.1838
Cu3 Cu 0.3061 0.5000 0.4267
Cu4 Cu 0.5581 0.5000 0.1823
Ag1 Ag 0.3076 0.0000 0.9320
Ag2 Ag 0.5578 0.0000 0.6764
Ag3 Ag 0.8097 0.0000 0.4288
Ag4 Ag 0.8132 0.5000 0.9336
Sb1 Sb 0.1200 0.5000 0.8596
Sb2 Sb 0.1305 0.0000 0.3649
Sb3 Sb 0.3584 0.5000 0.6095
Sb4 Sb 0.3738 0.0000 0.1246
Sb5 Sb 0.6082 0.5000 0.3634
Sb6 Sb 0.6215 0.0000 0.8675
Sb7 Sb 0.8756 0.5000 0.1266
Sb8 Sb 0.8848 0.0000 0.6200
```

Results
Electronic total energy = -19.4 eV/f.u.
Volume = 21.9 Å³/atom


First-principles (PBE) data for a geometry-optimized MgCuAgSb structure, as listed in OQMD via LeMat-Bulk.

```
data_MgCuAgSb
_chemical_formula_sum 'Mg4 Cu4 Ag4 Sb4'
_space_group_name_H-M_alt 'F -4 3 m'
_space_group_IT_number 216
_space_group_name_Hall 'F -4 2 3'
_cell_length_a 6.7363
_cell_length_b 6.7363
_cell_length_c 6.7363
_cell_angle_alpha 90.00
_cell_angle_beta 90.00
_cell_angle_gamma 90.00
loop_
_atom_site_label
_atom_site_type_symbol
_atom_site_fract_x
_atom_site_fract_y
_atom_site_fract_z
Mg1 Mg 0.0000 0.0000 0.0000
Cu1 Cu 0.0000 0.0000 0.5000
Ag1 Ag 0.2500 0.2500 0.7500
Sb1 Sb 0.2500 0.2500 0.2500
```

Results
Distance to the lowest polymorph of the same formula = 0.0 kJ per mole of atoms
Volume = 19.1 Å³/atom


First-principles (PBE) data for a geometry-optimized MgCuSiAg structure, as listed in OQMD via LeMat-Bulk.

```
data_MgCuSiAg
_chemical_formula_sum 'Mg4 Cu4 Si4 Ag4'
_space_group_name_H-M_alt 'F -4 3 m'
_space_group_IT_number 216
_space_group_name_Hall 'F -4 2 3'
_cell_length_a 6.3152
_cell_length_b 6.3152
_cell_length_c 6.3152
_cell_angle_alpha 90.00
_cell_angle_beta 90.00
_cell_angle_gamma 90.00
loop_
_atom_site_label
_atom_site_type_symbol
_atom_site_fract_x
_atom_site_fract_y
_atom_site_fract_z
Mg1 Mg 0.0000 0.0000 0.0000
Cu1 Cu 0.2500 0.2500 0.7500
Si1 Si 0.0000 0.0000 0.5000
Ag1 Ag 0.2500 0.2500 0.2500
```

Results
Distance to the lowest polymorph of the same formula = 0.0 kJ per mole of atoms
Volume = 15.7 Å³/atom


First-principles (PBE) data for a geometry-optimized MgCuAgSn structure, as listed in OQMD via LeMat-Bulk.

```
data_MgCuAgSn
_chemical_formula_sum 'Mg4 Cu4 Ag4 Sn4'
_space_group_name_H-M_alt 'F -4 3 m'
_space_group_IT_number 216
_space_group_name_Hall 'F -4 2 3'
_cell_length_a 6.6478
_cell_length_b 6.6478
_cell_length_c 6.6478
_cell_angle_alpha 90.00
_cell_angle_beta 90.00
_cell_angle_gamma 90.00
loop_
_atom_site_label
_atom_site_type_symbol
_atom_site_fract_x
_atom_site_fract_y
_atom_site_fract_z
Mg1 Mg 0.0000 0.0000 0.0000
Cu1 Cu 0.2500 0.2500 0.7500
Ag1 Ag 0.2500 0.2500 0.2500
Sn1 Sn 0.0000 0.0000 0.5000
```

Results
Distance to the lowest polymorph of the same formula = 0.0 kJ per mole of atoms
Volume = 18.4 Å³/atom